Entry from Alexandria via LeMat-Bulk: a relaxed ZrReBTe2 crystal (PBE-GGA).

```
ZrReBTe2
1.0
4.712 0.000 0.000
0.000 4.712 0.000
0.000 0.000 4.356
Zr Re B Te
1 1 1 2
direct
0.000 0.000 0.000 Zr
0.500 0.500 0.000 Re
0.000 0.000 0.500 B
0.000 0.500 0.500 Te
0.500 0.000 0.500 Te
```

## Properties
* SG: P4/mmm (123)
* energy above the most stable polymorph in this dataset: 1.43 eV/f.u.
* final energy: -5.814 eV per atom
* V: 19.345 Å³/atom
* ΔE_f (raw): 0.977 eV/atom